DFT (PBE-GGA) results for ZrTiW3 after structural relaxation.

Cell and atoms, written as CIF:
```
data_ZrTiW3
_chemical_formula_sum 'Zr1 Ti1 W3'
_cell_length_a 4.7723
_cell_length_b 4.7723
_cell_length_c 4.7723
_cell_angle_alpha 90.00
_cell_angle_beta 90.00
_cell_angle_gamma 90.00
_space_group_name_H-M_alt 'P 1'
_space_group_IT_number 1
loop_
_space_group_symop_operation_xyz
'x,y,z'
loop_
_atom_site_label
_atom_site_fract_x
_atom_site_fract_y
_atom_site_fract_z
Ti1 0.5000 0.5000 0.5000
Zr1 0.0000 0.0000 0.0000
W1 0.0000 0.0000 0.5000
W2 0.0000 0.5000 0.0000
W3 0.5000 0.0000 0.0000
```

Raw total energy ... -8.6786 eV/atom
Energy above the most stable polymorph in this dataset ... 4.610 eV/f.u.
Calculated formation energy ... 2.38 eV per atom
Size of the total moment ... 0.00 μB/f.u.